[1]
SbRuAu2 | the Alexandria database | meta-GGA SCAN | single point on PBEsol structure; formation energy from raw total energies = 0.304 eV/atom
1.0
-1.9398 1.9398 4.5900
1.9398 -1.9398 4.5900
1.9398 1.9398 -4.5900
Sb Ru Au
1 1 2
direct
0.0000 0.0000 0.0000 Sb
0.5000 0.5000 0.0000 Ru
0.2500 0.7500 0.5000 Au
0.7500 0.2500 0.5000 Au



[2]
MnCrTe | the Alexandria database | meta-GGA SCAN | single point on PBEsol structure; relative energy among the computed polymorphs = 170 meV per atom; formation energy from raw total energies = 0.332 eV/atom
1.0
0.0000 2.9551 2.9551
2.9551 0.0000 2.9551
2.9551 2.9551 0.0000
Mn Cr Te
1 1 1
direct
0.0000 0.0000 0.0000 Mn
0.5000 0.5000 0.5000 Cr
0.2500 0.2500 0.2500 Te



[3]
K2TiNiB | the Alexandria database | meta-GGA SCAN | single point on PBEsol structure; E_form = 1.257 eV per atom
1.0
5.7129 0.0000 0.0000
0.0000 5.7129 0.0000
0.0000 0.0000 4.2284
K Ti Ni B
2 1 1 1
direct
0.0000 0.5000 0.0000 K
0.5000 0.0000 0.0000 K
0.0000 0.0000 0.5000 Ti
0.5000 0.5000 0.5000 Ni
0.0000 0.0000 0.0000 B



[4]
Li3Br | the Alexandria database | meta-GGA SCAN | single point on PBEsol structure; relative energy among the computed polymorphs = 358 meV per atom; formation energy from raw total energies = -0.329 eV/atom
1.0
0.0000 3.4892 3.4892
3.4892 0.0000 3.4892
3.4892 3.4892 0.0000
Li Br
3 1
direct
0.0000 0.0000 0.0000 Li
0.2500 0.2500 0.2500 Li
0.7500 0.7500 0.7500 Li
0.5000 0.5000 0.5000 Br



[5]
Sc2FeW | the Alexandria database | meta-GGA SCAN | single point on PBEsol structure; relative energy among the computed polymorphs = 0 meV per atom; E_form = 0.371 eV per atom
1.0
-1.5154 2.3096 4.5534
1.5154 -2.3096 4.5534
1.5154 2.3096 -4.5534
Sc Fe W
2 1 1
direct
0.2162 0.2162 0.0000 Sc
0.7838 0.7838 0.0000 Sc
0.0000 0.5000 0.5000 Fe
0.5000 0.0000 0.5000 W



[6]
BaSrSn2O6 | the Alexandria database | meta-GGA SCAN | single point on PBEsol structure; relative energy among the computed polymorphs = 5 meV per atom; formation energy from raw total energies = -2.411 eV/atom
1.0
0.0000 4.0997 4.0997
4.0997 0.0000 4.0997
4.0997 4.0997 0.0000
Ba Sr Sn O
1 1 2 6
direct
0.0000 0.0000 0.0000 Ba
0.5000 0.5000 0.5000 Sr
0.2500 0.2500 0.2500 Sn
0.7500 0.7500 0.7500 Sn
0.0000 0.0000 0.5000 O
0.0000 0.5000 0.0000 O
0.0000 0.5000 0.5000 O
0.5000 0.0000 0.0000 O
0.5000 0.0000 0.5000 O
0.5000 0.5000 0.0000 O



[7]
Y3Mn | the Alexandria database | meta-GGA SCAN | single point on PBEsol structure; E_form = 0.102 eV per atom
1.0
3.4884 0.0000 0.0000
-1.7442 3.0211 0.0000
0.0000 0.0000 10.1025
Y Mn
3 1
direct
0.0000 0.0000 0.0000 Y
0.6667 0.3333 0.2874 Y
0.6667 0.3333 0.7126 Y
0.0000 0.0000 0.5000 Mn



[8]
La5Pb | the Alexandria database | meta-GGA SCAN | single point on PBEsol structure; relative energy among the computed polymorphs = 31 meV per atom; E_form = -0.289 eV per atom
1.0
6.1297 0.0000 0.0000
-3.0648 5.3085 0.0000
0.0000 0.0000 5.8907
La Pb
5 1
direct
0.0000 0.3066 0.0000 La
0.3066 0.0000 0.0000 La
0.3333 0.6667 0.5000 La
0.6667 0.3333 0.5000 La
0.6934 0.6934 0.0000 La
0.0000 0.0000 0.5000 Pb



[9]
Tb3BCl3 | the Alexandria database | meta-GGA SCAN | single point on PBEsol structure; formation energy from raw total energies = -1.717 eV/atom
1.0
-5.3841 5.3841 5.3841
5.3841 -5.3841 5.3841
5.3841 5.3841 -5.3841
Tb B Cl
12 4 12
direct
0.0134 0.0268 0.2634 Tb
0.0134 0.4866 0.7500 Tb
0.0268 0.2634 0.0134 Tb
0.2366 0.2634 0.7500 Tb
0.2366 0.4732 0.4866 Tb
0.2634 0.0134 0.0268 Tb
0.2634 0.7500 0.2366 Tb
0.4732 0.4866 0.2366 Tb
0.4866 0.2366 0.4732 Tb
0.4866 0.7500 0.0134 Tb
0.7500 0.0134 0.4866 Tb
0.7500 0.2366 0.2634 Tb
0.0000 0.2500 0.5000 B
0.2500 0.2500 0.2500 B
0.2500 0.5000 0.0000 B
0.5000 0.0000 0.2500 B
0.2500 0.7563 0.7437 Cl
0.2500 0.9937 0.5063 Cl
0.5063 0.2500 0.9937 Cl
0.5063 0.7563 0.5126 Cl
0.5126 0.5063 0.7563 Cl
0.7437 0.2500 0.7563 Cl
0.7437 0.9937 0.9874 Cl
0.7563 0.5126 0.5063 Cl
0.7563 0.7437 0.2500 Cl
0.9874 0.7437 0.9937 Cl
0.9937 0.5063 0.2500 Cl
0.9937 0.9874 0.7437 Cl



[10]
ZnCuRu2 | the Alexandria database | meta-GGA SCAN | single point on PBEsol structure; E_form = 0.008 eV per atom
1.0
2.7381 0.0000 0.0000
0.0000 2.7381 0.0000
0.0000 0.0000 6.8618
Zn Cu Ru
1 1 2
direct
0.0000 0.0000 0.0000 Zn
0.5000 0.5000 0.2321 Cu
0.0000 0.0000 0.4923 Ru
0.5000 0.5000 0.7335 Ru



[11]
KNiW2 | the Alexandria database | meta-GGA SCAN | single point on PBEsol structure; relative energy among the computed polymorphs = 705 meV per atom; E_form = 1.592 eV per atom
1.0
2.5928 -5.0390 0.0000
2.5928 5.0390 0.0000
0.0000 0.0000 2.5982
K Ni W
1 1 2
direct
0.0000 0.0000 0.0000 K
0.5000 0.5000 0.0000 Ni
0.0000 0.5000 0.5000 W
0.5000 0.0000 0.5000 W



[12]
Al5W | the Alexandria database | meta-GGA SCAN | single point on PBEsol structure; E_form = -0.169 eV per atom
1.0
4.8742 0.0000 0.0000
-2.4371 4.2212 0.0000
0.0000 0.0000 8.8249
Al W
10 2
direct
0.0000 0.0000 0.2500 Al
0.0000 0.0000 0.7500 Al
0.0000 0.3385 0.0000 Al
0.0000 0.6615 0.5000 Al
0.3333 0.6667 0.2500 Al
0.3385 0.0000 0.0000 Al
0.3385 0.3385 0.5000 Al
0.6615 0.0000 0.5000 Al
0.6615 0.6615 0.0000 Al
0.6667 0.3333 0.7500 Al
0.3333 0.6667 0.7500 W
0.6667 0.3333 0.2500 W



| no. | calculated volume (Å³/f.u.) | magnetization (μB/f.u.) |
| --- | --- | --- |
| 1 | 69.1 | 0.97 |
| 2 | 51.6 | 5.10 |
| 3 | 138.0 | 0.17 |
| 4 | 85.0 | 0.00 |
| 5 | 63.7 | 0.00 |
| 6 | 137.8 | 0.00 |
| 7 | 106.5 | 4.16 |
| 8 | 191.7 | 0.00 |
| 9 | 156.1 | 0.00 |
| 10 | 51.4 | 0.00 |
| 11 | 67.9 | 0.41 |
| 12 | 90.8 | 0.00 |